DFT (PBE-GGA) results for a geometry-optimized PuNiP2 structure.

Results
Space-group type: I-4m2
Total moment, μB per formula unit: 4.70
N(E_F), states/eV per cell: 9.913
Calculated total energy, eV per atom: -8.5669

```
4
Lattice="-1.0923 3.4308 1.3547 -1.5981 -1.7126 3.0522 5.2719 -0.5004 0.0533" Properties=species:S:1:pos:R:3 pbc="T T T"
Pu -0.4468 -0.8636 3.0014
Ni 2.3155 0.1713 2.6040
P 0.7842 1.7969 2.7142
P 4.0994 1.1181 1.6443
```

DFT (PBE-GGA) results for a geometry-optimized PuNi4P2 structure.

Results
Space-group type: P4_2/mnm
Total moment, μB per formula unit: 4.91
N(E_F), states/eV per cell: 26.378
Calculated total energy, eV per atom: -7.5916

```
14
Lattice="-0.8637 -1.9434 2.9264 -2.3028 -5.2752 -4.1828 6.5144 -2.8615 0.0224" Properties=species:S:1:pos:R:3 pbc="T T T"
Pu -0.4318 -0.9717 1.4632
Pu 2.1058 -4.0684 -2.0802
Ni 2.0122 -1.4390 -0.3617
Ni 2.1994 -6.6978 -3.7987
Ni 3.0323 -3.4986 0.8076
Ni 0.3156 -6.5815 -2.0415
Ni 4.0929 -5.5475 -0.2401
Ni -0.7449 -4.5326 -0.9939
Ni -0.2080 -2.0468 -1.4206
Ni 4.4196 -6.0900 -2.7398
P 4.5868 -3.3892 -0.8970
P -0.3752 -4.7475 -3.2634
P 2.5947 -6.8189 -1.5265
P 0.7532 -3.2612 0.2926
```